[1]
A plane-wave DFT calculation with PBE-GGA was carried out for crystalline CaBe2Rh2 at its relaxed geometry.

Calculated values
electronic total energy	-5.3021	eV per atom
ΔE_f	-227.1	kJ/mol of formula units
ρ	5.577	g/cm³
energy above the most stable polymorph in this dataset	0	meV per atom
N(E_F)	1.56	states/eV per cell
symmetry	I4/mmm, No. 139
spin magnetization	0.00	μB/cell

Lattice parameters (Å, degrees): 5.4079 5.4079 5.4079 134.74 134.74 65.93
Positions (direct):
Ca1 0.0000 0.0000 0.0000
Be1 0.3386 0.3386 0.0000
Be2 0.6614 0.6614 0.0000
Rh1 0.2500 0.7500 0.5000
Rh2 0.7500 0.2500 0.5000

[2]
A plane-wave DFT calculation with PBE-GGA was carried out for crystalline CaBe2Rh2 at its relaxed geometry.

Calculated values
electronic total energy	-5.2446	eV per atom
ΔE_f	-199.3	kJ/mol of formula units
ρ	6.432	g/cm³
energy above the most stable polymorph in this dataset	57	meV per atom
N(E_F)	2.88	states/eV per cell
symmetry	P4/mbm, No. 127
spin magnetization	0.00	μB/cell

Lattice parameters (Å, degrees): 6.7875 6.7875 2.9581 90.00 90.00 90.00
Positions (direct):
Ca1 0.0000 0.0000 0.0000
Ca2 0.5000 0.5000 0.0000
Be1 0.1170 0.3830 0.0000
Be2 0.3830 0.8830 0.0000
Be3 0.6170 0.1170 0.0000
Be4 0.8830 0.6170 0.0000
Rh1 0.1559 0.6559 0.5000
Rh2 0.3441 0.1559 0.5000
Rh3 0.6559 0.8441 0.5000
Rh4 0.8441 0.3441 0.5000

[3]
A plane-wave DFT calculation with PBE-GGA was carried out for crystalline Ca2Be3Si4Rh at its relaxed geometry.

Calculated values
electronic total energy	-4.7979	eV per atom
ρ	3.500	g/cm³
N(E_F)	4.44	states/eV per cell
ΔE_f (raw)	-3.75	eV per formula unit
symmetry	P-4m2, No. 115
spin magnetization	0.00	μB/cell

Lattice parameters (Å, degrees): 3.8983 3.8983 10.0659 90.00 90.00 90.00
Positions (direct):
Ca1 0.0000 0.5000 0.2424
Ca2 0.5000 0.0000 0.7576
Be1 0.0000 0.5000 0.8697
Be2 0.5000 0.0000 0.1303
Be3 0.5000 0.5000 0.5000
Si1 0.0000 0.0000 0.0000
Si2 0.0000 0.5000 0.6371
Si3 0.5000 0.0000 0.3629
Si4 0.5000 0.5000 0.0000
Rh1 0.0000 0.0000 0.5000

[4]
A plane-wave DFT calculation with PBE-GGA was carried out for crystalline Ca2BeTeRh at its relaxed geometry.

Calculated values
electronic total energy	-3.3233	eV per atom
ρ	3.238	g/cm³
N(E_F)	3.03	states/eV per cell
ΔE_f (raw)	1.61	eV per formula unit
symmetry	P4/mmm, No. 123
spin magnetization	0.00	μB/cell

Lattice parameters (Å, degrees): 5.7945 5.7945 4.8823 90.00 90.00 90.00
Positions (direct):
Ca1 0.0000 0.5000 0.0000
Ca2 0.5000 0.0000 0.0000
Be1 0.0000 0.0000 0.5000
Te1 0.5000 0.5000 0.0000
Rh1 0.5000 0.5000 0.5000

[5]
A plane-wave DFT calculation with PBE-GGA was carried out for crystalline Ca2BeRhW at its relaxed geometry.

Calculated values
electronic total energy	-4.6089	eV per atom
ΔE_f	481.4	kJ/mol of formula units
ρ	4.485	g/cm³
N(E_F)	4.85	states/eV per cell
symmetry	P4/mmm, No. 123
spin magnetization	2.04	μB/cell

Lattice parameters (Å, degrees): 5.4189 5.4189 4.7392 90.00 90.00 90.00
Positions (direct):
Ca1 0.0000 0.5000 0.0000
Ca2 0.5000 0.0000 0.0000
Be1 0.0000 0.0000 0.5000
Rh1 0.5000 0.5000 0.0000
W1 0.5000 0.5000 0.5000

[6]
A plane-wave DFT calculation with PBE-GGA was carried out for crystalline Ca2Be2ZnRh5 at its relaxed geometry.

Calculated values
electronic total energy	-5.4185	eV per atom
ΔE_f	-453.3	kJ/mol of formula units
ρ	7.582	g/cm³
N(E_F)	11.10	states/eV per cell
symmetry	P4/mbm, No. 127
spin magnetization	0.00	μB/cell

Lattice parameters (Å, degrees): 9.7272 9.7272 3.1392 90.00 90.00 90.00
Positions (direct):
Ca1 0.1768 0.3232 0.0000
Ca2 0.3232 0.8232 0.0000
Ca3 0.6768 0.1768 0.0000
Ca4 0.8232 0.6768 0.0000
Be1 0.1233 0.6233 0.0000
Be2 0.3767 0.1233 0.0000
Be3 0.6233 0.8767 0.0000
Be4 0.8767 0.3767 0.0000
Zn1 0.0000 0.0000 0.0000
Zn2 0.5000 0.5000 0.0000
Rh1 0.0000 0.5000 0.5000
Rh2 0.0660 0.7879 0.5000
Rh3 0.2121 0.0660 0.5000
Rh4 0.2879 0.5660 0.5000
Rh5 0.4340 0.2879 0.5000
Rh6 0.5000 0.0000 0.5000
Rh7 0.5660 0.7121 0.5000
Rh8 0.7121 0.4340 0.5000
Rh9 0.7879 0.9340 0.5000
Rh10 0.9340 0.2121 0.5000

[7]
A plane-wave DFT calculation with PBE-GGA was carried out for crystalline CaBeZnRh2 at its relaxed geometry.

Calculated values
electronic total energy	-4.6181	eV per atom
ΔE_f	-133.7	kJ/mol of formula units
ρ	6.718	g/cm³
N(E_F)	1.25	states/eV per cell
symmetry	P4/mmm, No. 123
spin magnetization	0.00	μB/cell

Lattice parameters (Å, degrees): 4.3228 4.3228 4.2369 90.00 90.00 90.00
Positions (direct):
Ca1 0.0000 0.0000 0.0000
Be1 0.5000 0.5000 0.5000
Zn1 0.5000 0.5000 0.0000
Rh1 0.0000 0.5000 0.5000
Rh2 0.5000 0.0000 0.5000

[8]
A plane-wave DFT calculation with PBE-GGA was carried out for crystalline CaBeRu2 at its relaxed geometry.

Calculated values
electronic total energy	-5.5667	eV per atom
ΔE_f	194.2	kJ/mol of formula units
ρ	6.715	g/cm³
N(E_F)	3.98	states/eV per cell
symmetry	P4/mmm, No. 123
spin magnetization	1.35	μB/cell

Lattice parameters (Å, degrees): 3.8659 3.8659 4.1567 90.00 90.00 90.00
Positions (direct):
Ca1 0.0000 0.0000 0.0000
Be1 0.5000 0.5000 0.0000
Ru1 0.0000 0.5000 0.5000
Ru2 0.5000 0.0000 0.5000

[9]
A plane-wave DFT calculation with PBE-GGA was carried out for crystalline CaBeRu at its relaxed geometry.

Calculated values
electronic total energy	-5.0430	eV per atom
ΔE_f	-12.1	kJ/mol of formula units
ρ	4.947	g/cm³
energy above the most stable polymorph in this dataset	53	meV per atom
N(E_F)	2.36	states/eV per cell
symmetry	I4mm, No. 107
spin magnetization	0.00	μB/cell

Lattice parameters (Å, degrees): 5.4431 5.4431 5.4431 145.92 145.92 48.96
Positions (direct):
Ca1 0.0000 0.0000 0.0000
Be1 0.2684 0.2684 0.0000
Ru1 0.7183 0.7183 0.0000

[10]
A plane-wave DFT calculation with PBE-GGA was carried out for crystalline CaBe2Ru2 at its relaxed geometry.

Calculated values
electronic total energy	-5.5857	eV per atom
ΔE_f	7.5	kJ/mol of formula units
ρ	6.428	g/cm³
energy above the most stable polymorph in this dataset	0	meV per atom
N(E_F)	6.73	states/eV per cell
symmetry	P4/mbm, No. 127
spin magnetization	0.00	μB/cell

Lattice parameters (Å, degrees): 6.5574 6.5574 3.1267 90.00 90.00 90.00
Positions (direct):
Ca1 0.0000 0.0000 0.0000
Ca2 0.5000 0.5000 0.0000
Be1 0.1138 0.3862 0.0000
Be2 0.3862 0.8862 0.0000
Be3 0.6138 0.1138 0.0000
Be4 0.8862 0.6138 0.0000
Ru1 0.1618 0.6618 0.5000
Ru2 0.3382 0.1618 0.5000
Ru3 0.6618 0.8382 0.5000
Ru4 0.8382 0.3382 0.5000

[11]
A plane-wave DFT calculation with PBE-GGA was carried out for crystalline CaBeRu2 at its relaxed geometry.

Calculated values
electronic total energy	-6.0335	eV per atom
ΔE_f	14.1	kJ/mol of formula units
ρ	5.367	g/cm³
N(E_F)	2.19	states/eV per cell
symmetry	Cm, No. 8
spin magnetization	0.00	μB/cell

Lattice parameters (Å, degrees): 4.1635 4.1635 5.6731 111.62 111.62 60.97
Positions (direct):
Ca1 0.0000 0.0000 0.0000
Be1 0.1843 0.1843 0.5536
Ru1 0.4918 0.4918 0.4883
Ru2 0.8198 0.8198 0.4428

[12]
A plane-wave DFT calculation with PBE-GGA was carried out for crystalline CaBeRu2 at its relaxed geometry.

Calculated values
electronic total energy	-5.7333	eV per atom
ΔE_f	129.9	kJ/mol of formula units
ρ	7.007	g/cm³
N(E_F)	4.02	states/eV per cell
symmetry	Cmmm, No. 65
spin magnetization	0.00	μB/cell

Lattice parameters (Å, degrees): 2.8343 2.8343 7.9153 90.00 90.00 110.56
Positions (direct):
Ca1 0.0000 0.0000 0.0000
Be1 0.0000 0.0000 0.5000
Ru1 0.5000 0.5000 0.3004
Ru2 0.5000 0.5000 0.6996